Below is crystalline Cs2TaBI6 at its relaxed geometry, with properties calculated at the GGA-PBE level. Values from VASP.

The value obtained for the formation energy from raw total energies is -0.337 eV per atom. The calculation puts the total energy at -3.29 eV per atom. As for the magnetic moment: 2.00 μB/f.u.

Cell and atoms, written as Quantum ESPRESSO input:
```
&SYSTEM
  ibrav = 0, nat = 10, ntyp = 4
/
ATOMIC_SPECIES
Cs 132.91 Cs.upf
Ta 180.95 Ta.upf
B 10.81 B.upf
I 126.90 I.upf
CELL_PARAMETERS angstrom
-4.1033 4.1033 5.8218
4.1033 -4.1033 5.8218
4.1033 4.1033 -5.8218
ATOMIC_POSITIONS angstrom
Cs 4.1033 0.0000 2.9109
Cs 0.0000 4.1033 2.9109
Ta 0.0000 0.0000 0.0000
B 0.0000 0.0000 5.8218
I 0.0000 0.0000 2.8626
I 2.0240 2.0240 0.0000
I 2.0793 -2.0793 5.8218
I -2.0793 2.0793 5.8218
I 2.0793 2.0793 5.8218
I 0.0000 0.0000 8.7811
```

Below is crystalline CsBTe2I at its relaxed geometry, with properties calculated at the GGA-PBE level. Values from VASP.

The value obtained for the formation energy from raw total energies is 0.167 eV per atom. The calculation puts the total energy at -2.91 eV per atom. As for the magnetic moment: 0.00 μB/f.u.

Cell and atoms, written as Quantum ESPRESSO input:
```
&SYSTEM
  ibrav = 0, nat = 5, ntyp = 4
/
ATOMIC_SPECIES
Cs 132.91 Cs.upf
B 10.81 B.upf
Te 127.60 Te.upf
I 126.90 I.upf
CELL_PARAMETERS angstrom
4.9416 0.0000 0.0000
0.0000 4.9416 0.0000
0.0000 0.0000 7.7813
ATOMIC_POSITIONS angstrom
Cs 0.0000 0.0000 0.0000
B 2.4708 2.4708 3.8907
Te 0.0000 2.4708 3.8907
Te 2.4708 0.0000 3.8907
I 2.4708 2.4708 0.0000
```

Below is crystalline Cs2TlBI6 at its relaxed geometry, with properties calculated at the GGA-PBE level. Values from VASP.

The value obtained for the formation energy from raw total energies is -0.482 eV per atom. The calculation puts the total energy at -2.49 eV per atom. As for the magnetic moment: 0.00 μB/f.u.

Cell and atoms, written as Quantum ESPRESSO input:
```
&SYSTEM
  ibrav = 0, nat = 10, ntyp = 4
/
ATOMIC_SPECIES
Cs 132.91 Cs.upf
Tl 204.38 Tl.upf
B 10.81 B.upf
I 126.90 I.upf
CELL_PARAMETERS angstrom
-4.1550 4.1550 6.0956
4.1550 -4.1550 6.0956
4.1550 4.1550 -6.0956
ATOMIC_POSITIONS angstrom
Cs 4.1550 0.0000 3.0478
Cs 0.0000 4.1550 3.0478
Tl 0.0000 0.0000 0.0000
B 0.0000 0.0000 6.0956
I 0.0000 0.0000 3.3150
I 2.3529 2.3529 0.0000
I 1.8022 -1.8022 6.0956
I -1.8022 1.8022 6.0956
I 1.8022 1.8022 6.0956
I 0.0000 0.0000 8.8763
```